Here is Pm2Nd2In7 after structural relaxation from Alexandria via LeMat-Bulk. Energies are from PBE.

Values from the calculation:
ρ	6.4	Mg/m³
energy of formation from the pure elements	-2	kJ/mol of atoms

```
data_Pm2Nd2In7
_cell_length_a 8.734
_cell_length_b 10.979
_cell_length_c 7.503
_cell_angle_alpha 90.00
_cell_angle_beta 90.00
_cell_angle_gamma 90.00
_space_group_name_H-M_alt 'C m m m'
_space_group_IT_number 65
_space_group_name_Hall '-C 2 2'
loop_
_atom_site_label
_atom_site_type_symbol
_atom_site_fract_x
_atom_site_fract_y
_atom_site_fract_z
_atom_site_occupancy
Pm1 Pm 0.000 0.200 0.000 1
Nd1 Nd 0.181 0.500 0.500 1
In1 In 0.000 0.000 0.303 1
In2 In 0.000 0.500 0.000 1
In3 In 0.250 0.250 0.298 1
```

---

Here is Pm2NdIn after structural relaxation from Alexandria via LeMat-Bulk. Energies are from PBE.

Values from the calculation:
distance to the lowest polymorph of the same formula	0.146	eV per atom
ρ	7.4	Mg/m³
energy of formation from the pure elements	-12	kJ/mol of atoms

```
data_Pm2NdIn
_cell_length_a 7.907
_cell_length_b 7.907
_cell_length_c 7.907
_cell_angle_alpha 90.00
_cell_angle_beta 90.00
_cell_angle_gamma 90.00
_space_group_name_H-M_alt 'F m -3 m'
_space_group_IT_number 225
_space_group_name_Hall '-F 4 2 3'
loop_
_atom_site_label
_atom_site_type_symbol
_atom_site_fract_x
_atom_site_fract_y
_atom_site_fract_z
_atom_site_occupancy
Pm1 Pm 0.250 0.250 0.250 1
Nd1 Nd 0.000 0.000 0.000 1
In1 In 0.000 0.000 0.500 1
```